1.
Entry from the Alexandria database: a crystal of K2ZnPb relaxed with PBEsol (meta-GGA SCAN).

Cell lengths 4.808, 5.627, 6.439 Å; angles 115.91, 90.00, 90.00 degrees
Atoms (fractional coordinates):
Pb: 0.000 0.670 0.340
Zn: 0.500 0.583 0.166
K: 0.000 0.978 0.956
K: 0.500 0.273 0.546

N(E_F) = 1.06 states/eV/f.u.
calculated formation energy = -0.17 eV per atom
E = -106.7 eV/cell

2.
Entry from the Alexandria database: a crystal of K2ZnPb relaxed with PBEsol (meta-GGA SCAN).

Cell lengths 3.900, 3.900, 10.016 Å; angles 90.00, 90.00, 95.64 degrees
Atoms (fractional coordinates):
K: 0.000 0.000 0.077
K: 0.500 0.500 0.681
Pb: 0.000 0.000 0.427
Zn: 0.500 0.500 0.315

N(E_F) = 2.64 states/eV/f.u.
calculated formation energy = 0.02 eV per atom
E = -105.9 eV/cell